{
  "formula": "SrCrIN2",
  "functional": "GGA-PBE",
  "state": "optimized geometry",
  "total_energy_ev_per_atom": -4.296,
  "total_magnetization_mub_per_fu": 4.84,
  "dos_ef_per_ev_atom": 1.390,
  "cell": [[4.746, 0.000, 0.000], [0.000, 4.746, 0.000], [0.000, 0.000, 6.573]],
  "species": ["Sr", "Cr", "I", "N", "N"],
  "fractional_positions": [[0.000, 0.000, 0.000], [0.500, 0.500, 0.500], [0.000, 0.000, 0.500], [0.000, 0.500, 0.000], [0.500, 0.000, 0.000]]
}